[1]
Below is a geometry-optimized MgGa2BiW structure, with properties calculated at the PBEsol level.

Results
E_tot   -19.7 eV per formula unit
Magnetization   2.51 Bohr magnetons per cell
Calculated volume   117 Å³/f.u.

Unit cell a=4.7937 b=4.7937 c=5.0718 alpha=90.00 beta=90.00 gamma=90.00
Each line ends with the local moment (μB).
Positions (direct):
Mg1 0.0000 0.0000 0.0000  0.01
Ga1 0.0000 0.5000 0.0000  0.01
Ga2 0.5000 0.0000 0.0000  0.01
Bi1 0.5000 0.5000 0.5000  -0.06
W1 0.0000 0.0000 0.5000  1.91


[2]
Below is a geometry-optimized CsScRe2Sn structure, with properties calculated at the PBEsol level.

Results
E_tot   -24.5 eV per formula unit
Magnetization   0.00 Bohr magnetons per cell
Calculated volume   121 Å³/f.u.

Unit cell a=4.9157 b=4.9157 c=5.0103 alpha=90.00 beta=90.00 gamma=90.00
Positions (direct):
Cs1 0.0000 0.0000 0.0000
Re1 0.0000 0.5000 0.0000
Re2 0.5000 0.0000 0.0000
Sc1 0.0000 0.0000 0.5000
Sn1 0.5000 0.5000 0.5000


[3]
Below is a geometry-optimized AlMo4 structure, with properties calculated at the PBEsol level.

Results
E_tot   -51.7 eV per formula unit
Magnetization   0.00 Bohr magnetons per cell
Calculated volume   76 Å³/f.u.

Unit cell a=3.1427 b=5.1481 c=5.1481 alpha=84.65 beta=72.23 gamma=72.23
Positions (direct):
Mo1 0.6097 0.1971 0.5835
Mo2 0.8068 0.5835 0.8029
Mo3 0.3903 0.8029 0.4165
Mo4 0.1932 0.4165 0.1971
Al1 0.0000 0.0000 0.0000


[4]
Below is a geometry-optimized TaInRu2 structure, with properties calculated at the PBEsol level.

Results
E_tot   -35.7 eV per formula unit
Magnetization   0.00 Bohr magnetons per cell
Calculated volume   64 Å³/f.u.

Unit cell a=2.8842 b=4.1078 c=5.3678 alpha=90.00 beta=90.00 gamma=90.00
Positions (direct):
In1 0.5000 0.5000 0.7711
Ru1 0.0000 0.0000 0.9924
Ru2 0.5000 0.5000 0.2662
Ta1 0.0000 0.0000 0.4703


[5]
Below is a geometry-optimized NiWS2O structure, with properties calculated at the PBEsol level.

Results
E_tot   -32.1 eV per formula unit
Magnetization   1.32 Bohr magnetons per cell
Calculated volume   68 Å³/f.u.
Formation energy without anion corrections   0.38 eV per atom

Unit cell a=3.3641 b=4.4861 c=4.4861 alpha=90.00 beta=90.00 gamma=90.00
Each line ends with the local moment (μB).
Positions (direct):
Ni1 0.0000 0.0000 0.0000  -0.35
S1 0.0000 0.0000 0.5000  -0.07
S2 0.0000 0.5000 0.0000  -0.07
O1 0.5000 0.0000 0.0000  -0.23
W1 0.5000 0.5000 0.5000  1.65


[6]
Below is a geometry-optimized KAl2Ir structure, with properties calculated at the PBEsol level.

Results
E_tot   -19.5 eV per formula unit
Magnetization   0.00 Bohr magnetons per cell
Calculated volume   87 Å³/f.u.
Energy above the lowest structure with this stoichiometry   0 meV/atom

Unit cell a=2.9908 b=4.2842 c=7.3196 alpha=95.85 beta=90.00 gamma=110.43
Positions (direct):
K1 0.5000 0.0000 0.0000
Ir1 0.0000 0.0000 0.5000
Al1 0.7258 0.4515 0.6509
Al2 0.2742 0.5485 0.3491